# 1
This record from Alexandria via LeMat-Bulk describes a relaxed Li3AsPd4 crystal. The functional is PBE-GGA.

```
8
Lattice="-2.1711 2.1711 5.8248 2.1711 -2.1711 5.8248 2.1711 2.1711 -5.8248" Properties=species:S:1:pos:R:3 pbc="T T T"
Li 0.0000 0.0000 0.0000
Li 0.0000 0.0000 2.8911
Li 0.0000 0.0000 8.7585
As 0.0000 0.0000 5.8248
Pd 2.1711 0.0000 1.4509
Pd 2.1711 0.0000 4.3739
Pd 0.0000 2.1711 1.4509
Pd 0.0000 2.1711 4.3739
```

Output
The calculation puts the energy relative to the elements at -0.51 eV per atom. As for the relative energy among the computed polymorphs: 0 meV/atom. The density is 7.9 g/cm3.


# 2
This record from Alexandria via LeMat-Bulk describes a relaxed K2Ba4As crystal. The functional is PBE-GGA.

```
7
Lattice="-3.2601 3.2601 10.9912 3.2601 -3.2601 10.9912 3.2601 3.2601 -10.9912" Properties=species:S:1:pos:R:3 pbc="T T T"
K 0.0000 0.0000 3.3781
K 0.0000 0.0000 18.6044
Ba 3.2601 0.0000 0.0000
Ba 0.0000 0.0000 7.7838
Ba 0.0000 3.2601 0.0000
Ba 0.0000 0.0000 14.1987
As 0.0000 0.0000 10.9912
```

Output
The calculation puts the energy relative to the elements at -0.24 eV per atom. The density is 2.5 g/cm3.


# 3
This record from Alexandria via LeMat-Bulk describes a relaxed PrLuAl crystal. The functional is PBE-GGA.

```
3
Lattice="-1.7450 1.7450 6.7492 1.7450 -1.7450 6.7492 1.7450 1.7450 -6.7492" Properties=species:S:1:pos:R:3 pbc="T T T"
Pr 0.0000 0.0000 0.0000
Lu 0.0000 0.0000 9.5138
Al 0.0000 0.0000 4.6179
```

Output
The calculation puts the energy relative to the elements at -0.22 eV per atom. As for the relative energy among the computed polymorphs: 0 meV/atom. The density is 6.9 g/cm3.


# 4
This record from Alexandria via LeMat-Bulk describes a relaxed TlIr2Cl crystal. The functional is PBE-GGA.

```
4
Lattice="-1.4572 2.5887 4.6256 1.4572 -2.5887 4.6256 1.4572 2.5887 -4.6256" Properties=species:S:1:pos:R:3 pbc="T T T"
Tl 0.0000 0.0000 0.0000
Ir 1.4572 0.0000 2.3765
Ir 0.0000 2.5887 2.2491
Cl 0.0000 0.0000 4.6256
```

Output
As for the relative energy among the computed polymorphs: 361 meV/atom. The density is 14.9 g/cm3. The value obtained for the uncorrected formation energy is 667 meV per atom.


# 5
This record from Alexandria via LeMat-Bulk describes a relaxed Tb2Nd2Tl7 crystal. The functional is PBE-GGA.

```
11
Lattice="4.2816 -5.4714 0.0000 4.2816 5.4714 0.0000 0.0000 0.0000 7.8839" Properties=species:S:1:pos:R:3 pbc="T T T"
Tb 1.6465 0.0000 0.0000
Tb 6.9166 0.0000 0.0000
Nd 4.2816 2.1509 3.9420
Nd 4.2816 -2.1509 3.9420
Tl 0.0000 0.0000 3.9420
Tl 2.1408 2.7357 1.5907
Tl 2.1408 2.7357 6.2932
Tl 2.1408 -2.7357 1.5907
Tl 2.1408 -2.7357 6.2932
Tl 4.2816 0.0000 1.5999
Tl 4.2816 0.0000 6.2840
```

Output
The calculation puts the energy relative to the elements at 0.04 eV per atom. The density is 9.2 g/cm3.


# 6
This record from Alexandria via LeMat-Bulk describes a relaxed NaHgBr4 crystal. The functional is PBE-GGA.

```
12
Lattice="7.3443 -3.8738 0.0000 7.3443 3.8738 0.0000 -4.0285 0.0000 6.6207" Properties=species:S:1:pos:R:3 pbc="T T T"
Na 4.3229 1.9436 4.9656
Na 6.3372 -1.9436 1.6552
Hg 3.6722 1.9369 0.0000
Hg 1.6579 -1.9369 3.3104
Br -1.1057 0.4994 4.4461
Br 0.9086 -0.4994 1.1357
Br 1.8639 0.4985 6.3238
Br 3.8781 -0.4985 3.0135
Br 6.7820 0.4985 3.6073
Br 8.7963 -0.4985 0.2969
Br 9.7515 0.4994 5.4850
Br 11.7658 -0.4994 2.1746
```

Output
The density is 4.8 g/cm3. The value obtained for the uncorrected formation energy is -608 meV per atom.


# 7
This record from Alexandria via LeMat-Bulk describes a relaxed MnBe2Te crystal. The functional is PBE-GGA.

```
4
Lattice="3.3244 0.0000 0.0000 0.0000 3.3244 0.0000 0.0000 0.0000 5.0375" Properties=species:S:1:pos:R:3 pbc="T T T"
Mn 0.0000 0.0000 0.0000
Be 0.0000 0.0000 2.7944
Be 1.6622 1.6622 3.8256
Te 1.6622 1.6622 1.3452
```

Output
The density is 6.0 g/cm3. The value obtained for the uncorrected formation energy is 423 meV per atom.


# 8
This record from Alexandria via LeMat-Bulk describes a relaxed LaCePa crystal. The functional is PBE-GGA.

```
3
Lattice="-1.6579 1.6579 7.7625 1.6579 -1.6579 7.7625 1.6579 1.6579 -7.7625" Properties=species:S:1:pos:R:3 pbc="T T T"
La 0.0000 0.0000 0.0000
Ce 0.0000 0.0000 4.8700
Pa 0.0000 0.0000 10.2802
```

Output
The calculation puts the energy relative to the elements at 0.14 eV per atom. As for the relative energy among the computed polymorphs: 0 meV/atom. The density is 9.9 g/cm3.


# 9
This record from Alexandria via LeMat-Bulk describes a relaxed YSe2Br crystal. The functional is PBE-GGA.

```
4
Lattice="5.3633 0.0000 0.0000 0.0000 4.1996 0.0000 -1.4755 0.0000 5.4298" Properties=species:S:1:pos:R:3 pbc="T T T"
Y 0.0000 0.0000 0.0000
Se 1.8396 2.0998 0.8616
Se 2.0481 2.0998 4.5682
Br -0.7378 0.0000 2.7149
```

Output
As for the relative energy among the computed polymorphs: 0 meV/atom. The density is 4.4 g/cm3. The value obtained for the uncorrected formation energy is -1263 meV per atom.


# 10
This record from Alexandria via LeMat-Bulk describes a relaxed CaNClO2 crystal. The functional is PBE-GGA.

```
5
Lattice="4.5541 0.0000 0.0000 0.0000 4.5541 0.0000 0.0000 0.0000 5.1993" Properties=species:S:1:pos:R:3 pbc="T T T"
Ca 0.0000 0.0000 0.0000
N 0.0000 0.0000 2.5997
Cl 2.2770 2.2770 2.5997
O 0.0000 2.2770 0.0000
O 2.2770 0.0000 0.0000
```

Output
The density is 1.9 g/cm3. The value obtained for the uncorrected formation energy is 722 meV per atom.


# 11
This record from Alexandria via LeMat-Bulk describes a relaxed Ca2Nd3Tl4 crystal. The functional is PBE-GGA.

```
9
Lattice="4.7381 -2.7306 0.0000 4.7381 2.7306 0.0000 -0.0188 0.0000 10.6491" Properties=species:S:1:pos:R:3 pbc="T T T"
Ca 1.5737 0.0000 2.3532
Ca 7.8838 0.0000 8.2959
Nd 1.5685 0.0000 6.2669
Nd 4.7381 0.0000 0.0000
Nd 7.8890 0.0000 4.3822
Tl 1.5640 0.0000 9.6133
Tl 4.7327 0.0000 3.7082
Tl 4.7248 0.0000 6.9408
Tl 7.8934 0.0000 1.0358
```

Output
The calculation puts the energy relative to the elements at -0.35 eV per atom. As for the relative energy among the computed polymorphs: 0 meV/atom. The density is 8.0 g/cm3.


# 12
This record from Alexandria via LeMat-Bulk describes a relaxed Sr2HfTiCo crystal. The functional is PBE-GGA.

```
5
Lattice="5.7465 0.0000 0.0000 0.0000 5.7465 0.0000 0.0000 0.0000 4.4120" Properties=species:S:1:pos:R:3 pbc="T T T"
Sr 0.0000 2.8732 0.0000
Sr 2.8732 0.0000 0.0000
Hf 0.0000 0.0000 2.2060
Ti 2.8732 2.8732 2.2060
Co 2.8732 2.8732 0.0000
```

Output
The calculation puts the energy relative to the elements at 0.87 eV per atom. The density is 5.2 g/cm3.


# 13
This record from Alexandria via LeMat-Bulk describes a relaxed NaAg2SbS4 crystal. The functional is PBE-GGA.

```
8
Lattice="0.0000 4.4145 5.3452 4.4106 0.0000 5.3452 4.4106 4.4145 0.0000" Properties=species:S:1:pos:R:3 pbc="T T T"
Na 0.0000 0.0000 0.0000
Ag 2.2053 2.2073 2.6684
Ag 6.6160 6.6218 8.0136
Sb 4.4106 4.4145 5.3398
S 6.3594 4.4145 3.9579
S 4.4106 2.4660 6.7218
S 2.4619 4.4145 3.9579
S 4.4106 6.3631 6.7218
```

Output
The density is 3.9 g/cm3. The value obtained for the uncorrected formation energy is -336 meV per atom.


# 14
This record from Alexandria via LeMat-Bulk describes a relaxed AcDy4Tl4 crystal. The functional is PBE-GGA.

```
18
Lattice="9.8710 0.0000 0.0000 0.0000 9.8710 0.0000 0.0000 0.0000 5.7970" Properties=species:S:1:pos:R:3 pbc="T T T"
Ac 2.4677 2.4677 1.4493
Ac 7.4032 7.4032 4.3478
Dy 1.0355 8.2522 3.8033
Dy 1.6188 5.9710 0.9048
Dy 3.3167 8.8355 0.9048
Dy 3.9000 6.5543 3.8033
Dy 5.9710 3.3167 1.9937
Dy 6.5543 1.0355 4.8923
Dy 8.2522 3.9000 4.8923
Dy 8.8355 1.6188 1.9937
Tl 0.2840 1.3523 4.8439
Tl 1.3523 4.6515 3.8516
Tl 3.5832 0.2840 3.8516
Tl 4.6515 3.5832 4.8439
Tl 5.2195 6.2878 0.9531
Tl 6.2878 9.5870 1.9454
Tl 8.5187 5.2195 1.9454
Tl 9.5870 8.5187 0.9531
```

Output
The calculation puts the energy relative to the elements at -0.15 eV per atom. The density is 10.0 g/cm3.


# 15
This record from Alexandria via LeMat-Bulk describes a relaxed Ce2SiTeO4 crystal. The functional is PBE-GGA.

```
32
Lattice="6.4108 0.0000 0.0000 0.0000 7.2774 0.0000 0.0000 0.0000 11.3372" Properties=species:S:1:pos:R:3 pbc="T T T"
Ce 0.7110 1.8194 0.0000
Ce 0.7110 1.8194 5.6686
Ce 2.4844 3.9136 2.8343
Ce 2.4844 7.0025 8.5029
Ce 3.9264 0.2749 2.8343
Ce 3.9264 3.3638 8.5029
Ce 5.6998 5.4581 0.0000
Ce 5.6998 5.4581 5.6686
Si 2.4699 5.4581 0.0000
Si 2.4699 5.4581 5.6686
Si 3.9409 1.8194 0.0000
Si 3.9409 1.8194 5.6686
Te 0.6213 4.1755 8.5029
Te 0.6213 6.7407 2.8343
Te 5.7895 0.5367 8.5029
Te 5.7895 3.1020 2.8343
O 1.4841 4.2011 0.3979
O 1.4841 4.2011 5.2707
O 1.4841 6.7151 6.0665
O 1.4841 6.7151 10.9393
O 2.9142 1.6779 6.9712
O 2.9142 1.6779 10.0346
O 2.9142 1.9608 1.3026
O 2.9142 1.9608 4.3660
O 3.4966 5.3167 6.9712
O 3.4966 5.3167 10.0346
O 3.4966 5.5995 1.3026
O 3.4966 5.5995 4.3660
O 4.9267 0.5624 0.3979
O 4.9267 0.5624 5.2707
O 4.9267 3.0763 6.0665
O 4.9267 3.0763 10.9393
```

Output
The density is 6.3 g/cm3. The value obtained for the uncorrected formation energy is -2796 meV per atom.


# 16
This record from Alexandria via LeMat-Bulk describes a relaxed Os2PdW2 crystal. The functional is PBE-GGA.

```
10
Lattice="7.4814 0.0000 0.0000 0.0000 7.4814 0.0000 0.0000 0.0000 2.8867" Properties=species:S:1:pos:R:3 pbc="T T T"
Os 1.0155 2.7252 0.0000
Os 2.7252 6.4659 0.0000
Os 4.7562 1.0155 0.0000
Os 6.4659 4.7562 0.0000
Pd 0.0000 0.0000 0.0000
Pd 3.7407 3.7407 0.0000
W 1.2059 4.9466 1.4434
W 2.5348 1.2059 1.4434
W 4.9466 6.2755 1.4434
W 6.2755 2.5348 1.4434
```

Output
The calculation puts the energy relative to the elements at 0.16 eV per atom. The density is 17.6 g/cm3.


# 17
This record from Alexandria via LeMat-Bulk describes a relaxed CsNaRhF6 crystal. The functional is PBE-GGA.

```
18
Lattice="-3.8336 3.9491 5.4868 3.8336 -3.9491 5.4868 3.8336 3.9491 -5.4868" Properties=species:S:1:pos:R:3 pbc="T T T"
Cs 0.0000 1.9745 1.5007
Cs 3.8336 1.9745 3.9861
Na 3.8336 0.0000 0.0000
Na 0.0000 0.0000 5.4868
Rh 1.9168 1.9745 -2.7434
Rh 1.9168 -1.9745 2.7434
F 2.1145 -0.5968 1.4051
F 5.5527 -0.5968 1.4051
F 3.8336 -1.9745 3.3471
F 2.1145 3.3522 -1.4051
F 1.7191 -0.5968 4.0817
F 3.8336 1.9745 1.1261
F 0.0000 1.9745 4.3607
F 2.1145 4.5459 1.4051
F 1.7191 0.5968 6.8918
F 0.0000 5.9236 2.1396
F -1.7191 4.5459 4.0817
F 1.7191 4.5459 4.0817
```

Output
The density is 3.7 g/cm3. The value obtained for the uncorrected formation energy is -2092 meV per atom.


# 18
This record from Alexandria via LeMat-Bulk describes a relaxed MnSb2TeOs crystal. The functional is PBE-GGA.

```
5
Lattice="4.8161 0.0000 0.0000 0.0000 4.8161 0.0000 0.0000 0.0000 4.8469" Properties=species:S:1:pos:R:3 pbc="T T T"
Mn 0.0000 0.0000 0.0000
Sb 0.0000 2.4081 0.0000
Sb 2.4081 0.0000 0.0000
Te 0.0000 0.0000 2.4234
Os 2.4081 2.4081 2.4234
```

Output
As for the relative energy among the computed polymorphs: 353 meV/atom. The density is 9.1 g/cm3. The value obtained for the uncorrected formation energy is 1234 meV per atom.


# 19
This record from Alexandria via LeMat-Bulk describes a relaxed AcY2Te crystal. The functional is PBE-GGA.

```
4
Lattice="3.9038 0.0000 0.0000 0.0000 3.9038 0.0000 0.0000 0.0000 8.3305" Properties=species:S:1:pos:R:3 pbc="T T T"
Ac 0.0000 0.0000 0.0000
Y 1.9519 1.9519 2.4153
Y 1.9519 1.9519 5.9152
Te 0.0000 0.0000 4.1653
```

Output
As for the relative energy among the computed polymorphs: 0 meV/atom. The density is 7.0 g/cm3. The value obtained for the uncorrected formation energy is -568 meV per atom.


# 20
This record from Alexandria via LeMat-Bulk describes a relaxed Sm3PtCl3 crystal. The functional is PBE-GGA.

```
28
Lattice="-5.8751 5.8751 5.8751 5.8751 -5.8751 5.8751 5.8751 5.8751 -5.8751" Properties=species:S:1:pos:R:3 pbc="T T T"
Sm 1.5963 1.4688 -1.3412
Sm 7.2163 1.5963 -1.4688
Sm 1.4688 -1.3412 1.5963
Sm 4.5339 4.2788 -1.4688
Sm 4.2788 1.4688 1.3412
Sm -1.3412 1.5963 1.4688
Sm 4.2788 -1.4688 4.5339
Sm 1.4688 1.3412 4.2788
Sm 1.3412 4.2788 1.4688
Sm 1.5963 -1.4688 7.2163
Sm -1.4688 7.2163 1.5963
Sm -1.4688 4.5339 4.2788
Pt 4.4063 1.4688 -1.4688
Pt 1.4688 1.4688 1.4688
Pt 1.4688 -1.4688 4.4063
Pt -1.4688 4.4063 1.4688
Cl 4.4086 4.4063 -4.4040
Cl 4.4040 -1.4665 1.4688
Cl 4.4063 -4.4040 4.4086
Cl 1.4688 4.4040 -1.4665
Cl 7.3439 1.4711 1.4665
Cl -1.4665 1.4688 4.4040
Cl 4.4063 4.4040 1.4665
Cl 4.4040 1.4665 4.4063
Cl -4.4040 4.4086 4.4063
Cl 1.4665 7.3439 1.4711
Cl 1.4665 4.4063 4.4040
Cl 1.4711 1.4665 7.3439
```

Output
The density is 6.2 g/cm3. The value obtained for the uncorrected formation energy is -1672 meV per atom.